Record 1
First-principles (GGA-PBE) data for an optimized crystal structure of TbPrAu3, as listed in the Alexandria database.

abc: 3.717 28.465 4.611
angles: 90.00 90.00 90.00
Space group Cmcm (No. 63)
One atom of each set of equivalent atoms:
Tb (0.000, 0.206, 0.250) x4
Pr (0.000, 0.073, 0.750) x4
Au (0.000, 0.314, 0.250) x4
Au (0.000, 0.377, 0.750) x4
Au (0.000, 0.474, 0.750) x4

Results
Formation enthalpy at 0 K = -0.81 eV per atom
Total magnetization = 0.0 μB/f.u.
Energy = -93.103 eV/cell

Record 2
First-principles (GGA-PBE) data for an optimized crystal structure of Tb2PrAu6, as listed in the Alexandria database.

abc: 3.694 7.704 14.718
angles: 90.00 90.00 90.00
Space group Immm (No. 71)
One atom of each set of equivalent atoms:
Tb (0.000, 0.000, 0.141) x4
Pr (0.000, 0.500, 0.000) x2
Au (0.000, 0.188, 0.322) x8
Au (0.000, 0.319, 0.500) x4

Results
Formation enthalpy at 0 K = -0.74 eV per atom
Total magnetization = 0.0 μB/f.u.
Energy = -80.731 eV/cell

Record 3
First-principles (GGA-PBE) data for an optimized crystal structure of TbPr4Au4, as listed in the Alexandria database.

abc: 9.278 9.278 6.269
angles: 90.00 90.00 90.00
Space group P4_2/n (No. 86, origin choice 2)
One atom of each set of equivalent atoms:
Tb (0.250, 0.250, 0.250) x2
Pr (0.051, 0.662, 0.157) x8
Au (0.027, 0.637, 0.645) x8

Results
Formation enthalpy at 0 K = -0.57 eV per atom
Total magnetization = 0.0 μB/f.u.
Energy = -83.937 eV/cell

Which value of total magnetization does entry 2 give? 0.0 μB/f.u.